[1]
Density functional theory data (PBE) for an optimized crystal structure of Cs2NaGa2H6.

Unit cell a=6.0999 b=6.6050 c=7.9820 alpha=122.77 beta=90.00 gamma=117.50
With the nearest neighbours (Å) after each atom.
Element x y z (fractional)
Cs (0.7250, 0.4500, 0.2137)  5 H 3.04-3.29
Cs (0.2750, 0.5500, 0.7863)  5 H 3.04-3.29
H (0.2112, 0.4224, 0.3552)  1 Ga 1.64
H (0.8009, 0.0306, 0.7481)  1 Ga 1.67
H (0.2298, 0.0306, 0.7481)  1 Ga 1.67
H (0.7702, 0.9694, 0.2519)  1 Ga 1.67
H (0.1991, 0.9694, 0.2519)  1 Ga 1.67
H (0.7888, 0.5776, 0.6448)  1 Ga 1.64
Ga (0.0347, 0.0694, 0.1810)  3 H 1.64-1.67
Ga (0.9653, 0.9306, 0.8190)  3 H 1.64-1.67
Na (0.5000, 0.0000, 0.5000)  6 H 2.56-2.83

DFT total energy ... -30.67 eV per cell
Symmetry ... C2/m (12)
DOS at the Fermi energy ... 0.26 states/eV per atom

***

[2]
Density functional theory data (PBE) for an optimized crystal structure of CsNaGaH6.

Unit cell a=5.4816 b=5.4813 c=5.8708 alpha=90.00 beta=89.99 gamma=59.98
With the nearest neighbours (Å) after each atom.
Element x y z (fractional)
H (0.3583, 0.5739, 0.3238)  1 Ga 1.73
H (0.5741, 0.0676, 0.3239)  1 Ga 1.73
H (0.5739, 0.3583, 0.6762)  1 Ga 1.73
H (0.3583, 0.0678, 0.6762)  1 Ga 1.73
H (0.0678, 0.3583, 0.3238)  1 Ga 1.73
H (0.0676, 0.5741, 0.6761)  1 Ga 1.73
Cs (0.0000, 0.0000, 0.0000)  6 H 2.89
Na (0.6666, 0.6666, 0.5000)  6 H 2.25
Ga (0.3333, 0.3334, 0.5000)  6 H 1.73

DFT total energy ... -24.09 eV per cell
Symmetry ... P312 (149)
DOS at the Fermi energy ... 0.35 states/eV per atom

***

[3]
Density functional theory data (PBE) for an optimized crystal structure of CsNaGa2H8.

Unit cell a=5.2564 b=5.2564 c=8.7879 alpha=72.60 beta=72.60 gamma=60.00
With the nearest neighbours (Å) after each atom.
Element x y z (fractional)
H (0.1939, 0.1939, 0.4183)  1 Ga 1.61
H (0.8061, 0.8061, 0.5817)  1 Ga 1.61
H (0.9891, 0.5683, 0.1655)  1 Ga 1.59
H (0.5683, 0.2770, 0.1655)  1 Ga 1.59
H (0.2770, 0.9891, 0.1655)  1 Ga 1.59
H (0.7230, 0.0109, 0.8345)  1 Ga 1.59
H (0.4317, 0.7230, 0.8345)  1 Ga 1.59
H (0.0109, 0.4317, 0.8345)  1 Ga 1.59
Na (0.0000, 0.0000, 0.0000)  6 H 2.32
Cs (0.5000, 0.5000, 0.5000)  12 H 3.11-3.34
Ga (0.7410, 0.7410, 0.7769)  4 H 1.59-1.61
Ga (0.2590, 0.2590, 0.2231)  4 H 1.59-1.61

DFT total energy ... -37.10 eV per cell
Symmetry ... R-3 (148)
DOS at the Fermi energy ... 0.00 states/eV per atom

***

[4]
Density functional theory data (PBE) for an optimized crystal structure of Cs2Ga2P2H.

Unit cell a=4.0581 b=7.6482 c=8.3365 alpha=49.03 beta=89.95 gamma=74.53
With the nearest neighbours (Å) after each atom.
Element x y z (fractional)
H (0.0000, 0.0000, 0.0000)  2 Ga 2.05
Cs (0.5630, 0.8747, 0.7967)  2 H 3.16
Cs (0.4370, 0.1253, 0.2033)  2 H 3.16
P (0.7970, 0.4073, 0.3750)  3 Ga 2.46-2.47
P (0.2030, 0.5927, 0.6250)  3 Ga 2.46-2.47
Ga (0.8219, 0.3559, 0.7008)  1 H 2.05
Ga (0.1781, 0.6441, 0.2992)  1 H 2.05

DFT total energy ... -24.05 eV per cell
Symmetry ... P-1 (2)
DOS at the Fermi energy ... 0.38 states/eV per atom